Record 1
First-principles (GGA+U) data for a geometry-optimized CoHgSeO structure, as listed in OQMD via LeMat-Bulk.

Geometry as POSCAR:
```
CoHgSeO
1.0
-3.200 4.005 -2.805
-1.169 -2.685 -2.500
-10.442 -2.809 7.899
Se O Hg Co
4 4 4 4
Direct
0.742 0.000 0.080 Se
0.758 0.500 0.580 Se
0.242 0.000 0.420 Se
0.258 0.500 0.920 Se
0.326 0.000 0.689 O
0.174 0.500 0.189 O
0.826 0.000 0.811 O
0.674 0.500 0.311 O
0.783 0.000 0.405 Hg
0.217 0.500 0.595 Hg
0.717 0.500 0.905 Hg
0.283 0.000 0.095 Hg
0.659 0.000 0.689 Co
0.341 0.500 0.311 Co
0.841 0.500 0.189 Co
0.159 0.000 0.811 Co
```

Values from the calculation:
energy relative to the lowest polymorph listed for this composition	84	meV/atom
theoretical density	7.8	g/cm³
calculated volume	301	Å³/cell



Record 2
First-principles (GGA+U) data for a geometry-optimized CoHgSeO structure, as listed in OQMD via LeMat-Bulk.

Geometry as POSCAR:
```
CoHgSeO
1.0
-6.551 2.539 -1.554
-7.183 -0.416 -0.068
-0.216 2.834 5.543
Co O Hg Se
2 2 2 2
Direct
0.335 0.335 0.948 Co
0.665 0.665 0.448 Co
0.090 0.090 0.508 O
0.910 0.910 0.008 O
0.061 0.061 0.883 Hg
0.939 0.939 0.383 Hg
0.303 0.303 0.554 Se
0.697 0.697 0.054 Se
```

Values from the calculation:
energy relative to the lowest polymorph listed for this composition	187	meV/atom
theoretical density	8.0	g/cm³
calculated volume	147	Å³/cell